ZrAl2Ge | GGA-PBE | optimized geometry

Summary:
ρ: 4.649 g/cm3
E_tot: -5.213 eV per atom

Lattice parameters (Å, degrees): 7.550 7.550 5.460 90.00 90.00 90.00
Space group I-42d (No. 122)
Unique sites:
Zr 0.000 0.000 0.000 [4 per cell]
Al 0.211 0.250 0.625 [8 per cell]
Ge 0.000 0.000 0.500 [4 per cell]

Tb2NdTh3 | GGA-PBE | optimized geometry

Summary:
ρ: 9.811 g/cm3
E_tot: -6.019 eV per atom

Lattice parameters (Å, degrees): 15.229 5.063 11.367 90.00 116.52 90.00
Space group C2/m (No. 12)
Unique sites:
Tb 0.040 0.000 0.367 [4 per cell]
Tb 0.205 0.500 0.368 [4 per cell]
Nd 0.128 0.500 0.631 [4 per cell]
Th 0.042 0.500 0.879 [4 per cell]
Th 0.123 0.000 0.121 [4 per cell]
Th 0.210 0.000 0.879 [4 per cell]

Tl3BrF5 | GGA-PBE | optimized geometry

Summary:
Formation energy (no corrections): -1620 meV/atom
ρ: 6.165 g/cm3
E_tot: -3.635 eV per atom

Lattice parameters (Å, degrees): 7.917 28.145 3.810 90.00 90.00 90.00
Space group Cmmm (No. 65)
Unique sites:
Tl 0.000 0.000 0.000 [2 per cell]
Tl 0.000 0.166 0.500 [4 per cell]
Tl 0.000 0.308 0.000 [4 per cell]
Tl 0.000 0.500 0.500 [2 per cell]
Br 0.000 0.381 0.500 [4 per cell]
F 0.000 0.048 0.500 [4 per cell]
F 0.000 0.263 0.500 [4 per cell]
F 0.229 0.193 0.000 [8 per cell]
F 0.233 0.500 0.000 [4 per cell]

Na3DyF6 | GGA-PBE | optimized geometry

Summary:
Formation energy (no corrections): -3291 meV/atom
ρ: 3.866 g/cm3
E_tot: -5.270 eV per atom

Lattice parameters (Å, degrees): 5.845 5.962 10.205 90.00 123.45 90.00
Space group P2_1/c (No. 14)
Unique sites:
Na 0.000 0.000 0.000 [2 per cell]
Na 0.218 0.048 0.729 [4 per cell]
Dy 0.500 0.000 0.500 [2 per cell]
F 0.135 0.177 0.450 [4 per cell]
F 0.232 0.703 0.407 [4 per cell]
F 0.401 0.090 0.266 [4 per cell]

Ag3SnBi2Se6 | GGA-PBE | optimized geometry

Summary:
Formation energy (no corrections): -268 meV/atom
ρ: 7.470 g/cm3
E_tot: -3.703 eV per atom

Lattice parameters (Å, degrees): 17.825 4.161 8.164 90.00 101.59 90.00
Space group C2/m (No. 12)
Unique sites:
Ag 0.000 0.000 0.000 [2 per cell]
Ag 0.168 0.500 0.336 [4 per cell]
Sn 0.000 0.000 0.500 [2 per cell]
Bi 0.165 0.500 0.833 [4 per cell]
Se 0.004 0.500 0.246 [4 per cell]
Se 0.164 0.000 0.092 [4 per cell]
Se 0.169 0.000 0.576 [4 per cell]

Ac3Ag2Au4 | GGA-PBE | optimized geometry

Summary:
ρ: 11.570 g/cm3
E_tot: -4.138 eV per atom

Lattice parameters (Å, degrees): 11.534 4.872 9.204 90.00 110.77 90.00
Space group C2/m (No. 12)
Unique sites:
Ac 0.000 0.000 0.000 [2 per cell]
Ac 0.164 0.500 0.671 [4 per cell]
Ag 0.116 0.500 0.284 [4 per cell]
Au 0.062 0.000 0.391 [4 per cell]
Au 0.220 0.500 0.055 [4 per cell]

Ba2LaMn | GGA-PBE | optimized geometry

Summary:
ρ: 4.987 g/cm3
E_tot: -3.940 eV per atom

Lattice parameters (Å, degrees): 5.167 5.167 11.685 90.00 90.00 90.00
Space group I4/mmm (No. 139)
Unique sites:
Ba 0.000 0.500 0.250 [4 per cell]
La 0.000 0.000 0.000 [2 per cell]
Mn 0.000 0.000 0.500 [2 per cell]

Pu4PaP5 | GGA-PBE | optimized geometry

Summary:
ρ: 10.007 g/cm3
E_tot: -10.583 eV per atom

Lattice parameters (Å, degrees): 8.940 8.940 5.656 90.00 90.00 90.00
Space group I4/m (No. 87)
Unique sites:
Pu 0.099 0.699 0.000 [8 per cell]
Pa 0.000 0.000 0.500 [2 per cell]
P 0.000 0.000 0.000 [2 per cell]
P 0.099 0.702 0.500 [8 per cell]

BaNpInO6 | GGA-PBE | optimized geometry

Summary:
Formation energy (no corrections): -2370 meV/atom
ρ: 6.093 g/cm3
E_tot: -7.632 eV per atom

Lattice parameters (Å, degrees): 5.6430 5.6430 11.5655 90.00 90.00 120.00
Space group P-31c (No. 163)
Unique sites:
Ba 0.0000 0.0000 0.0000 [2 per cell]
Np 0.3333 0.6667 0.2500 [2 per cell]
In 0.3333 0.6667 0.7500 [2 per cell]
O 0.0219 0.3852 0.1500 [12 per cell]

Mg2Cd4Pb | GGA-PBE | optimized geometry

Summary:
ρ: 6.118 g/cm3
E_tot: -1.338 eV per atom

Lattice parameters (Å, degrees): 5.821 5.821 11.303 90.00 90.00 90.00
Space group I4/mmm (No. 139)
Unique sites:
Mg 0.000 0.000 0.142 [4 per cell]
Cd 0.000 0.500 0.000 [4 per cell]
Cd 0.000 0.500 0.250 [4 per cell]
Pb 0.000 0.000 0.500 [2 per cell]

Ac3Nd2Sn4 | GGA-PBE | optimized geometry

Summary:
ρ: 7.343 g/cm3
E_tot: -4.800 eV per atom

Lattice parameters (Å, degrees): 12.384 5.025 10.590 90.00 97.61 90.00
Space group C2/m (No. 12)
Unique sites:
Ac 0.000 0.000 0.000 [2 per cell]
Ac 0.124 0.500 0.405 [4 per cell]
Nd 0.180 0.500 0.808 [4 per cell]
Sn 0.087 0.000 0.626 [4 per cell]
Sn 0.166 0.500 0.107 [4 per cell]

HoTmCdCu | GGA-PBE | optimized geometry

Summary:
ρ: 9.176 g/cm3
E_tot: -3.753 eV per atom

Lattice parameters (Å, degrees): 7.173 7.173 7.173 90.00 90.00 90.00
Space group F-43m (No. 216)
Unique sites:
Ho 0.000 0.000 0.000 [4 per cell]
Tm 0.000 0.000 0.500 [4 per cell]
Cd 0.250 0.250 0.250 [4 per cell]
Cu 0.250 0.250 0.750 [4 per cell]

Among the records above, which one has the highest E_tot?
Mg2Cd4Pb